Cs3ZnI5 | PBE | optimized geometry

## Properties
formation energy (no corrections)	-1259	meV/atom

abc: 10.5370 10.5370 16.4177
angles: 90.00 90.00 90.00
Closest atoms and distances in Å follow each position.
Space group I4/mcm (No. 140)
Asymmetric unit:
Cs: 0.0000 0.0000 0.2500 x4  10 I 4.10-4.35
Cs: 0.1602 0.3398 0.0000 x8  8 I 3.89-4.07
Zn: 0.0000 0.5000 0.2500 x4  4 I 2.64
I: 0.0000 0.0000 0.0000 x4  6 Cs 3.96-4.10
I: 0.1421 0.3579 0.3457 x16  1 Zn 2.64

Na2Si2O5 | PBE | optimized geometry

## Properties
formation energy (no corrections)	-2464	meV/atom

abc: 12.3445 12.3445 7.5280
angles: 90.00 90.00 90.00
Closest atoms and distances in Å follow each position.
Space group I4_1/a (No. 88, origin choice 2)
Asymmetric unit:
Na: 0.0814 0.1486 0.4690 x16  3 O 2.31-2.43
Si: 0.1131 0.0454 0.9144 x16  4 O 1.60-1.65
O: 0.0000 0.0000 0.0000 x8  2 Si 1.64
O: 0.0933 0.1413 0.7754 x16  1 Si 1.60
O: 0.1728 0.4352 0.1596 x16  2 Si 1.64-1.65

Rb2Cd2Ga | PBE | optimized geometry

## Properties
formation energy from the elements	0.142	eV/atom

abc: 4.2068 4.2068 22.5832
angles: 90.00 90.00 90.00
Closest atoms and distances in Å follow each position.
Space group I4/mmm (No. 139)
Asymmetric unit:
Rb: 0.0000 0.0000 0.1014 x4  4 Ga 3.75, 4 Cd 3.96
Cd: 0.0000 0.5000 0.2500 x4  4 Cd 2.97
Ga: 0.0000 0.0000 0.5000 x2  8 Rb 3.75

Number 1: polymorph energy (0 for the lowest one) 0.04 eV per formula unit. Number 2: polymorph energy (0 for the lowest one) 0.00 eV per formula unit. Number 3: polymorph energy (0 for the lowest one) 0.46 eV per formula unit.